A geometry-optimized SrScN3 structure, computed with PBE-GGA.

abc: 4.192 4.192 4.192
angles: 90.00 90.00 90.00
Positions (direct):
Sc1 0.000 0.000 0.000
Sr1 0.500 0.500 0.500
N1 0.000 0.500 0.000
N2 0.000 0.000 0.500
N3 0.500 0.000 0.000

- Raw total energy: -6.5573 eV per atom
- Formation energy from raw total energies: 41 meV/atom
- Symmetry: Pm-3m, No. 221
- Total magnetic moment: 2.3 μB per formula unit